A:
## LaCd2Tc (GGA-PBE)

Data for a geometry-optimized LaCd2Tc structure.

## Properties
- Space group: Cm (8)
- M_tot: 0.3 μB per cell

a = 5.2566 Å, b = 5.2566 Å, c = 6.3793 Å
α = 62.05°, β = 62.05°, γ = 38.77°
With the nearest neighbours (Å) after each atom.
Atoms (fractional coordinates):
Cd 0.0597 0.0597 0.0358  2 Tc 2.87, 3 Cd 2.96-3.02
Cd 0.2820 0.2820 0.2309  2 Tc 2.85, 3 Cd 2.96-3.02
La 0.4493 0.4493 0.6076  3 Tc 2.63-2.91
Tc 0.7089 0.7089 0.6257  3 La 2.63-2.91, 4 Cd 2.85-2.87

=====

B:
## LaCd2Tc (GGA-PBE)

Data for a geometry-optimized LaCd2Tc structure.

## Properties
- Space group: P4/mmm (123)
- M_tot: 0.3 μB per cell

a = 4.1716 Å, b = 4.1716 Å, c = 5.1169 Å
α = 90.00°, β = 90.00°, γ = 90.00°
With the nearest neighbours (Å) after each atom.
Atoms (fractional coordinates):
Cd 0.0000 0.0000 0.0000  4 Cd 2.95, 4 La 3.30, 4 Tc 3.30
Cd 0.5000 0.5000 0.0000  4 Cd 2.95, 4 La 3.30, 4 Tc 3.30
La 0.5000 0.0000 0.5000  4 Tc 2.95, 8 Cd 3.30
Tc 0.0000 0.5000 0.5000  4 La 2.95, 8 Cd 3.30

=====

C:
## LaCd2Tc (GGA-PBE)

Data for a geometry-optimized LaCd2Tc structure.

## Properties
- Space group: I-4m2 (119)
- M_tot: 0.0 μB per cell

a = 5.3009 Å, b = 5.3009 Å, c = 5.3009 Å
α = 127.86°, β = 127.86°, γ = 76.85°
With the nearest neighbours (Å) after each atom.
Atoms (fractional coordinates):
Cd 0.0000 0.0000 0.0000  4 Cd 3.12, 4 Tc 3.12, 4 La 3.29
Cd 0.2500 0.7500 0.5000  4 Cd 3.12, 4 La 3.12, 4 Tc 3.29
La 0.5000 0.5000 0.0000  4 Tc 3.12, 8 Cd 3.12-3.29
Tc 0.7500 0.2500 0.5000  4 La 3.12, 8 Cd 3.12-3.29

=====

D:
## LaCd2Tc (GGA-PBE)

Data for a geometry-optimized LaCd2Tc structure.

## Properties
- Space group: Immm (71)
- M_tot: 0.4 μB per cell

a = 6.0889 Å, b = 6.0889 Å, c = 6.0889 Å
α = 145.94°, β = 133.98°, γ = 58.47°
With the nearest neighbours (Å) after each atom.
Atoms (fractional coordinates):
Cd 0.0312 0.0312 0.0000  2 Tc 2.93, 4 Cd 3.05
Cd 0.4688 0.4688 0.0000  2 Tc 2.93, 4 Cd 3.05
La 0.7500 0.2500 0.5000  4 Tc 2.97, 4 Cd 3.33
Tc 0.2500 0.7500 0.5000  4 Cd 2.93, 4 La 2.97

=====

Name the least stable of them. C.

=====

A:
## LaCd2Tc (GGA-PBE)

Data for a geometry-optimized LaCd2Tc structure.

## Properties
- Space group: P4mm (99)
- M_tot: 0.0 μB per cell

a = 3.5179 Å, b = 3.5179 Å, c = 7.5439 Å
α = 90.00°, β = 90.00°, γ = 90.01°
With the nearest neighbours (Å) after each atom.
Atoms (fractional coordinates):
Cd 0.0000 0.0000 0.9706  4 Tc 2.86, 4 Cd 3.03, 1 La 3.20
Cd 0.5000 0.5000 0.2007  4 Cd 3.03, 1 Tc 3.15
La 0.0000 0.0000 0.5461  4 Tc 3.06, 1 Cd 3.20
Tc 0.5000 0.5000 0.7826  5 Cd 2.86-3.15, 4 La 3.06

=====

B:
## LaCd2Tc (GGA-PBE)

Data for a geometry-optimized LaCd2Tc structure.

## Properties
- Space group: R3m (160)
- M_tot: 0.0 μB per cell

a = 9.8335 Å, b = 9.8335 Å, c = 9.8335 Å
α = 19.73°, β = 19.73°, γ = 19.73°
With the nearest neighbours (Å) after each atom.
Atoms (fractional coordinates):
Cd 0.0091 0.0091 0.0091  3 Tc 2.87, 3 Cd 3.17
Cd 0.2558 0.2558 0.2558  9 Cd 3.17-3.37, 3 La 3.55
La 0.4864 0.4864 0.4864  3 Tc 2.83
Tc 0.7486 0.7486 0.7486  3 La 2.83, 3 Cd 2.87

=====

C:
## LaCd2Tc (GGA-PBE)

Data for a geometry-optimized LaCd2Tc structure.

## Properties
- Space group: Imm2 (44)
- M_tot: 0.0 μB per cell

a = 7.1059 Å, b = 7.1059 Å, c = 7.1059 Å
α = 153.46°, β = 141.25°, γ = 47.58°
With the nearest neighbours (Å) after each atom.
Atoms (fractional coordinates):
Cd 0.0795 0.0795 0.0000  2 Tc 2.84, 2 Cd 3.11
Cd 0.7352 0.2352 0.5000  4 Tc 2.88, 2 Cd 3.11
La 0.4272 0.4272 0.0000  2 Tc 2.74
Tc 0.2580 0.7580 0.5000  2 La 2.74, 6 Cd 2.84-2.88

=====

D:
## LaCd2Tc (GGA-PBE)

Data for a geometry-optimized LaCd2Tc structure.

## Properties
- Space group: Amm2 (38)
- M_tot: 0.0 μB per cell

a = 4.2161 Å, b = 3.7491 Å, c = 6.1616 Å
α = 72.30°, β = 90.00°, γ = 90.00°
With the nearest neighbours (Å) after each atom.
Atoms (fractional coordinates):
Cd 0.0000 0.7995 0.0257  2 Tc 2.84, 4 Cd 2.99
Cd 0.5000 0.2164 0.1920  4 Cd 2.99, 1 Tc 3.00
La 0.0000 0.5222 0.5798  4 Tc 2.91, 3 Cd 3.22-3.25
Tc 0.5000 0.9619 0.7025  3 Cd 2.84-3.00, 4 La 2.91

=====

Name the least stable of them. B.

=====

A:
## LaCd2Tc (GGA-PBE)

Data for a geometry-optimized LaCd2Tc structure.

## Properties
- Space group: P4/mmm (123)
- M_tot: 1.7 μB per cell

a = 3.2347 Å, b = 3.2347 Å, c = 8.5834 Å
α = 90.00°, β = 90.00°, γ = 90.00°
With the nearest neighbours (Å) after each atom.
Atoms (fractional coordinates):
Cd 0.0000 0.0000 0.9543  4 Tc 2.88
Cd 0.0000 0.0000 0.5457  4 Tc 2.88
La 0.5000 0.5000 0.2500  4 La 3.23, 8 Cd 3.42
Tc 0.5000 0.5000 0.7500  8 Cd 2.88

=====

B:
## LaCd2Tc (GGA-PBE)

Data for a geometry-optimized LaCd2Tc structure.

## Properties
- Space group: I-42d (122)
- M_tot: 0.0 μB per cell

a = 4.1265 Å, b = 4.1265 Å, c = 11.5110 Å
α = 79.67°, β = 79.67°, γ = 90.00°
With the nearest neighbours (Å) after each atom.
Atoms (fractional coordinates):
Cd 0.5935 0.1250 0.2500  2 Cd 2.74
Cd 0.1565 0.6250 0.2500  2 Cd 2.74
Cd 0.3750 0.4065 0.7500  2 Cd 2.74
Cd 0.8750 0.8435 0.7500  2 Cd 2.74
Tc 0.5000 0.5000 0.0000  4 La 2.92, 4 Cd 3.10
Tc 0.2500 0.7500 0.5000  4 La 2.92, 4 Cd 3.10
La 0.0000 0.0000 0.0000  4 Tc 2.92, 4 Cd 3.19
La 0.7500 0.2500 0.5000  4 Tc 2.92, 4 Cd 3.19

=====

Name the least stable of them. B.

=====

A:
## LaCd2Tc (GGA-PBE)

Data for a geometry-optimized LaCd2Tc structure.

## Properties
- Space group: P2/m (10)
- M_tot: 0.0 μB per cell

a = 5.2315 Å, b = 3.2397 Å, c = 5.4841 Å
α = 72.17°, β = 90.00°, γ = 90.00°
With the nearest neighbours (Å) after each atom.
Atoms (fractional coordinates):
Cd 0.0000 0.8926 0.9737  3 Cd 2.81-2.89, 2 Tc 2.98
Cd 0.0000 0.6074 0.5263  3 Cd 2.81-2.89, 2 Tc 2.98
La 0.5000 0.2500 0.2500  2 Tc 2.72
Tc 0.5000 0.7500 0.7500  2 La 2.72, 4 Cd 2.98

=====

B:
## LaCd2Tc (GGA-PBE)

Data for a geometry-optimized LaCd2Tc structure.

## Properties
- Space group: Fm-3m (225)
- M_tot: 0.0 μB per cell

a = 5.0545 Å, b = 5.0545 Å, c = 5.0545 Å
α = 60.00°, β = 60.00°, γ = 60.00°
With the nearest neighbours (Å) after each atom.
Atoms (fractional coordinates):
Cd 0.2500 0.2500 0.2500  4 La 3.10, 4 Tc 3.10
Cd 0.7500 0.7500 0.7500  4 La 3.10, 4 Tc 3.10
Tc 0.0000 0.0000 0.0000  8 Cd 3.10
La 0.5000 0.5000 0.5000  8 Cd 3.10

=====

Name the least stable of them. B.